No. 1
## BeCoSi2 (PBE)

Data for BeCoSi2 after structural relaxation.

The space group is Cmmm (No. 65) and the conventional cell measures 4.752, 6.830 and 2.672 Å, with angles of 90.00, 90.00 and 90.00 degrees. Symmetry generates all atoms from Be at (0.000, 0.000, 0.000), Co at (0.000, 0.500, 0.000) and Si at (0.250, 0.250, 0.500).

The uncorrected formation energy is -0.0396 eV/atom.

No. 2
## BeCoSi2 (PBE)

Data for BeCoSi2 after structural relaxation.

The space group is R-3m (No. 166, hexagonal axes) and the conventional cell measures 2.6824, 2.6824 and 21.9144 Å, with angles of 90.00, 90.00 and 120.00 degrees. Symmetry generates all atoms from Be at (0.0000, 0.0000, 0.0000), Co at (0.0000, 0.0000, 0.5000) and Si at (0.0000, 0.0000, 0.2475).

The uncorrected formation energy is -0.0634 eV/atom.

No. 3
## BeCo2Si2 (PBE)

Data for BeCo2Si2 after structural relaxation.

The space group is P4/mbm (No. 127) and the conventional cell measures 6.349, 6.349 and 2.754 Å, with angles of 90.00, 90.00 and 90.00 degrees. Symmetry generates all atoms from Be at (0.000, 0.000, 0.000), Co at (0.148, 0.352, 0.000) and Si at (0.150, 0.650, 0.500).

For the excess energy over the best structure of this formula in the dataset, the calculation gives 0.00 eV/f.u. The uncorrected formation energy is -0.2645 eV/atom.

No. 4
## BeCo3Si3 (PBE)

Data for BeCo3Si3 after structural relaxation.

The space group is R3m (No. 160, hexagonal axes) and the conventional cell measures 7.6092, 7.6092 and 4.6845 Å, with angles of 90.00, 90.00 and 120.00 degrees. Symmetry generates all atoms from Be at (0.0000, 0.0000, 0.0000), Co at (0.9999, 0.5000, 0.5012) and Si at (0.0000, 0.5000, 0.0013).

The uncorrected formation energy is -0.3905 eV/atom.